[1]
## KSrHg (PBE)

Data for a geometry-optimized KSrHg structure.

Cell lengths 4.3702, 4.3702, 33.9123 Å; angles 90.00, 90.00, 120.00 degrees
Fractional coordinates of all 12 atoms:
K  0.3333  0.6667  0.2938
K  0.3333  0.6667  0.4430
K  0.6667  0.3333  0.5570
K  0.6667  0.3333  0.7062
Sr  0.3333  0.6667  0.8180
Sr  0.3333  0.6667  0.9472
Sr  0.6667  0.3333  0.0528
Sr  0.6667  0.3333  0.1820
Hg  0.3333  0.6667  0.1179
Hg  0.3333  0.6667  0.6320
Hg  0.6667  0.3333  0.3680
Hg  0.6667  0.3333  0.8821

Computed properties:
For the calculated volume, the calculation gives 46.74 Å³/atom. As for the energy above the most stable polymorph in this dataset: 41 meV/atom. For the total magnetization, the calculation gives 0.000 μB per atom. The calculation puts the formation energy at -178 meV per atom.



[2]
## K2Sr2Hg (PBE)

Data for a geometry-optimized K2Sr2Hg structure.

Cell lengths 8.7189, 8.7189, 7.3395 Å; angles 90.00, 90.00, 90.00 degrees
Fractional coordinates of all 10 atoms:
K  0.1724  0.3276  0.0000
K  0.3276  0.8276  0.0000
K  0.6724  0.1724  0.0000
K  0.8276  0.6724  0.0000
Sr  0.1681  0.6681  0.5000
Sr  0.3319  0.1681  0.5000
Sr  0.6681  0.8319  0.5000
Sr  0.8319  0.3319  0.5000
Hg  0.0000  0.0000  0.5000
Hg  0.5000  0.5000  0.5000

Computed properties:
For the calculated volume, the calculation gives 55.79 Å³/atom. As for the energy above the most stable polymorph in this dataset: 0 meV/atom. For the total magnetization, the calculation gives 0.000 μB per atom. The calculation puts the formation energy at -27 meV per atom.



[3]
## KSrHg3 (PBE)

Data for a geometry-optimized KSrHg3 structure.

Cell lengths 15.4682, 15.4682, 5.0765 Å; angles 90.00, 90.00, 163.54 degrees
Fractional coordinates of all 10 atoms:
K  0.0747  0.9253  0.7500
K  0.9253  0.0747  0.2500
Sr  0.2058  0.7942  0.2500
Sr  0.7942  0.2058  0.7500
Hg  0.3171  0.6829  0.2500
Hg  0.3764  0.6236  0.7500
Hg  0.4741  0.5259  0.7500
Hg  0.5259  0.4741  0.2500
Hg  0.6236  0.3764  0.2500
Hg  0.6829  0.3171  0.7500

Computed properties:
For the calculated volume, the calculation gives 34.41 Å³/atom. As for the energy above the most stable polymorph in this dataset: 0 meV/atom. For the total magnetization, the calculation gives 0.000 μB per atom. The calculation puts the formation energy at -357 meV per atom.



[4]
## KSr2Hg (PBE)

Data for a geometry-optimized KSr2Hg structure.

Cell lengths 4.5493, 4.5493, 34.5955 Å; angles 90.00, 90.00, 120.00 degrees
Fractional coordinates of all 12 atoms:
K  0.0000  0.0000  0.0000
K  0.3333  0.6667  0.6667
K  0.6667  0.3333  0.3333
Sr  0.0000  0.0000  0.2238
Sr  0.0000  0.0000  0.7762
Sr  0.3333  0.6667  0.4429
Sr  0.3333  0.6667  0.8904
Sr  0.6667  0.3333  0.1096
Sr  0.6667  0.3333  0.5571
Hg  0.0000  0.0000  0.5000
Hg  0.3333  0.6667  0.1667
Hg  0.6667  0.3333  0.8333

Computed properties:
For the calculated volume, the calculation gives 51.67 Å³/atom. For the total magnetization, the calculation gives 0.000 μB per atom. The calculation puts the formation energy at -194 meV per atom.



[5]
## K2SrHg (PBE)

Data for a geometry-optimized K2SrHg structure.

Cell lengths 5.1081, 5.4019, 6.5945 Å; angles 90.00, 90.00, 90.00 degrees
Fractional coordinates of all 4 atoms:
K  0.0000  0.0000  0.0000
K  0.5000  0.5000  0.0000
Sr  0.0000  0.5000  0.5000
Hg  0.5000  0.0000  0.5000

Computed properties:
For the calculated volume, the calculation gives 45.49 Å³/atom. For the total magnetization, the calculation gives 0.000 μB per atom. The calculation puts the formation energy at -40 meV per atom.



[6]
## K12Sr3Hg5 (PBE)

Data for a geometry-optimized K12Sr3Hg5 structure.

Cell lengths 19.0967, 19.0967, 19.0967 Å; angles 109.47, 109.47, 109.47 degrees
Fractional coordinates of all 80 atoms:
K  0.0205  0.1976  0.0995
K  0.0205  0.3229  0.9210
K  0.0790  0.5995  0.4019
K  0.0790  0.9795  0.6771
K  0.0981  0.6976  0.6771
K  0.0981  0.9005  0.4210
K  0.0995  0.0205  0.1976
K  0.0995  0.5790  0.9019
K  0.1771  0.1976  0.5981
K  0.1771  0.4795  0.5790
K  0.1976  0.0995  0.0205
K  0.1976  0.5981  0.1771
K  0.3024  0.3229  0.9019
K  0.3024  0.4795  0.4005
K  0.3229  0.9019  0.3024
K  0.3229  0.9210  0.0205
K  0.4005  0.3024  0.4795
K  0.4005  0.5981  0.9210
K  0.4019  0.0790  0.5995
K  0.4019  0.8229  0.8024
K  0.4210  0.0981  0.9005
K  0.4210  0.8229  0.5205
K  0.4795  0.4005  0.3024
K  0.4795  0.5790  0.1771
K  0.5205  0.4210  0.8229
K  0.5205  0.5995  0.6976
K  0.5790  0.1771  0.4795
K  0.5790  0.9019  0.0995
K  0.5981  0.1771  0.1976
K  0.5981  0.9210  0.4005
K  0.5995  0.4019  0.0790
K  0.5995  0.6976  0.5205
K  0.6771  0.0790  0.9795
K  0.6771  0.0981  0.6976
K  0.6976  0.5205  0.5995
K  0.6976  0.6771  0.0981
K  0.8024  0.4019  0.8229
K  0.8024  0.9005  0.9795
K  0.8229  0.5205  0.4210
K  0.8229  0.8024  0.4019
K  0.9005  0.4210  0.0981
K  0.9005  0.9795  0.8024
K  0.9019  0.0995  0.5790
K  0.9019  0.3024  0.3229
K  0.9210  0.0205  0.3229
K  0.9210  0.4005  0.5981
K  0.9795  0.6771  0.0790
K  0.9795  0.8024  0.9005
Sr  0.1250  0.2500  0.3750
Sr  0.1250  0.3750  0.7500
Sr  0.2500  0.3750  0.1250
Sr  0.2500  0.8750  0.6250
Sr  0.3750  0.1250  0.2500
Sr  0.3750  0.7500  0.1250
Sr  0.6250  0.2500  0.8750
Sr  0.6250  0.8750  0.7500
Sr  0.7500  0.1250  0.3750
Sr  0.7500  0.6250  0.8750
Sr  0.8750  0.6250  0.2500
Sr  0.8750  0.7500  0.6250
Hg  0.0000  0.0000  0.0000
Hg  0.0000  0.0000  0.5000
Hg  0.0000  0.5000  0.0000
Hg  0.0000  0.5000  0.5000
Hg  0.1250  0.7500  0.8750
Hg  0.1250  0.8750  0.2500
Hg  0.2500  0.1250  0.8750
Hg  0.2500  0.6250  0.3750
Hg  0.3750  0.2500  0.6250
Hg  0.3750  0.6250  0.7500
Hg  0.5000  0.0000  0.0000
Hg  0.5000  0.0000  0.5000
Hg  0.5000  0.5000  0.0000
Hg  0.5000  0.5000  0.5000
Hg  0.6250  0.3750  0.2500
Hg  0.6250  0.7500  0.3750
Hg  0.7500  0.3750  0.6250
Hg  0.7500  0.8750  0.1250
Hg  0.8750  0.1250  0.7500
Hg  0.8750  0.2500  0.1250

Computed properties:
For the calculated volume, the calculation gives 67.01 Å³/atom. For the total magnetization, the calculation gives 0.000 μB per atom. The calculation puts the formation energy at 111 meV per atom.



[7]
## K2Sr2Hg (PBE)

Data for a geometry-optimized K2Sr2Hg structure.

Cell lengths 8.8232, 8.8232, 6.7991 Å; angles 90.00, 90.00, 90.00 degrees
Fractional coordinates of all 10 atoms:
K  0.1472  0.3528  0.0000
K  0.3528  0.8528  0.0000
K  0.6472  0.1472  0.0000
K  0.8528  0.6472  0.0000
Sr  0.1758  0.6758  0.5000
Sr  0.3242  0.1758  0.5000
Sr  0.6758  0.8242  0.5000
Sr  0.8242  0.3242  0.5000
Hg  0.0000  0.0000  0.0000
Hg  0.5000  0.5000  0.0000

Computed properties:
For the calculated volume, the calculation gives 52.93 Å³/atom. As for the energy above the most stable polymorph in this dataset: 123 meV/atom. For the total magnetization, the calculation gives 0.000 μB per atom. The calculation puts the formation energy at 96 meV per atom.



[8]
## KSr2Hg (PBE)

Data for a geometry-optimized KSr2Hg structure.

Cell lengths 10.1799, 10.1799, 7.7814 Å; angles 90.00, 90.00, 90.00 degrees
Fractional coordinates of all 16 atoms:
K  0.0000  0.0000  0.0000
K  0.0000  0.5000  0.2500
K  0.5000  0.0000  0.7500
K  0.5000  0.5000  0.5000
Sr  0.1712  0.2500  0.6250
Sr  0.2500  0.6712  0.8750
Sr  0.2500  0.8288  0.3750
Sr  0.3288  0.2500  0.1250
Sr  0.6712  0.7500  0.1250
Sr  0.7500  0.1712  0.3750
Sr  0.7500  0.3288  0.8750
Sr  0.8288  0.7500  0.6250
Hg  0.0000  0.0000  0.5000
Hg  0.0000  0.5000  0.7500
Hg  0.5000  0.0000  0.2500
Hg  0.5000  0.5000  0.0000

Computed properties:
For the calculated volume, the calculation gives 50.40 Å³/atom. For the total magnetization, the calculation gives 0.000 μB per atom. The calculation puts the formation energy at -60 meV per atom.



[9]
## KSr2TcHg (PBE)

Data for a geometry-optimized KSr2TcHg structure.

Cell lengths 6.4036, 6.4036, 5.4946 Å; angles 90.00, 90.00, 90.00 degrees
Fractional coordinates of all 5 atoms:
K  0.0000  0.0000  0.0000
Sr  0.0000  0.5000  0.0000
Sr  0.5000  0.0000  0.0000
Tc  0.5000  0.5000  0.5000
Hg  0.0000  0.0000  0.5000

Computed properties:
For the calculated volume, the calculation gives 45.06 Å³/atom. For the total magnetization, the calculation gives 0.654 μB per atom. The calculation puts the formation energy at 1457 meV per atom.



[10]
## KSr2HgTe (PBE)

Data for a geometry-optimized KSr2HgTe structure.

Cell lengths 6.8439, 6.8439, 6.0119 Å; angles 90.00, 90.00, 90.00 degrees
Fractional coordinates of all 5 atoms:
K  0.0000  0.0000  0.0000
Sr  0.0000  0.5000  0.0000
Sr  0.5000  0.0000  0.0000
Hg  0.5000  0.5000  0.5000
Te  0.0000  0.0000  0.5000

Computed properties:
For the calculated volume, the calculation gives 56.32 Å³/atom. The final energy comes out at -1.396 eV/atom. For the total magnetization, the calculation gives 0.000 μB per atom.



[11]
## K2SrHgW (PBE)

Data for a geometry-optimized K2SrHgW structure.

Cell lengths 6.1569, 6.1569, 6.3898 Å; angles 90.00, 90.00, 90.00 degrees
Fractional coordinates of all 5 atoms:
K  0.0000  0.5000  0.0000
K  0.5000  0.0000  0.0000
Sr  0.0000  0.0000  0.5000
Hg  0.0000  0.0000  0.0000
W  0.5000  0.5000  0.5000

Computed properties:
For the calculated volume, the calculation gives 48.44 Å³/atom. For the total magnetization, the calculation gives 0.992 μB per atom. The calculation puts the formation energy at 1268 meV per atom.